No. 1
First-principles (PBE) data for a geometry-optimized NaGe2PdRh structure, as listed in Alexandria via LeMat-Bulk.

a = 4.146 Å, b = 4.146 Å, c = 6.086 Å
α = 109.92°, β = 109.92°, γ = 90.00°
Atoms (fractional coordinates):
Rh: 0.750 0.250 0.500
Pd: 0.250 0.750 0.500
Na: 0.000 0.000 0.000
Ge: 0.379 0.379 0.757
Ge: 0.621 0.621 0.243

Calculated values
For the total energy, the calculation gives -5.08 eV/atom. The calculation puts the volume at 18.34 Å³ per atom. As for the space-group type: I-4m2, No. 119.

---

No. 2
First-principles (PBE) data for a geometry-optimized LiAl2C structure, as listed in Alexandria via LeMat-Bulk.

a = 7.036 Å, b = 7.036 Å, c = 5.436 Å
α = 49.67°, β = 49.67°, γ = 90.00°
Atoms (fractional coordinates):
Li: 0.500 0.500 0.000
Li: 0.250 0.750 0.500
Al: 0.875 0.993 0.750
Al: 0.375 0.257 0.750
Al: 0.743 0.125 0.250
Al: 0.007 0.625 0.250
C: 0.750 0.250 0.500
C: 0.000 0.000 0.000

Calculated values
For the total energy, the calculation gives -4.48 eV/atom. The calculation puts the volume at 13.55 Å³ per atom. As for the space-group type: I-42d, No. 122.

---

No. 3
First-principles (PBE) data for a geometry-optimized Al2Pd2Rh structure, as listed in Alexandria via LeMat-Bulk.

a = 7.015 Å, b = 7.015 Å, c = 2.998 Å
α = 90.00°, β = 90.00°, γ = 90.00°
Atoms (fractional coordinates):
Pd: 0.147 0.647 0.500
Pd: 0.353 0.147 0.500
Pd: 0.853 0.353 0.500
Pd: 0.647 0.853 0.500
Al: 0.152 0.348 0.000
Al: 0.848 0.652 0.000
Al: 0.348 0.848 0.000
Al: 0.652 0.152 0.000
Rh: 0.000 0.000 0.000
Rh: 0.500 0.500 0.000

Calculated values
The calculation puts the volume at 14.75 Å³ per atom. The energy relative to the lowest polymorph listed for this composition comes out at 184 meV/atom. As for the space-group type: P4/mbm, No. 127.

---

No. 4
First-principles (PBE) data for a geometry-optimized Pr5Hg6 structure, as listed in Alexandria via LeMat-Bulk.

a = 5.353 Å, b = 7.702 Å, c = 9.417 Å
α = 114.14°, β = 106.53°, γ = 90.00°
Atoms (fractional coordinates):
Pr: 0.000 0.500 0.000
Pr: 0.351 0.851 0.701
Pr: 0.649 0.149 0.299
Pr: 0.328 0.328 0.656
Pr: 0.672 0.672 0.344
Hg: 0.500 0.733 0.000
Hg: 0.166 0.916 0.333
Hg: 0.166 0.416 0.333
Hg: 0.500 0.267 0.000
Hg: 0.834 0.084 0.667
Hg: 0.834 0.584 0.667

Calculated values
For the total energy, the calculation gives -2.72 eV/atom. The calculation puts the volume at 30.60 Å³ per atom. As for the space-group type: Immm, No. 71.

---

No. 5
First-principles (PBE) data for a geometry-optimized NaAs2 structure, as listed in Alexandria via LeMat-Bulk.

a = 5.705 Å, b = 5.705 Å, c = 5.705 Å
α = 60.00°, β = 60.00°, γ = 60.00°
Atoms (fractional coordinates):
As: 0.625 0.625 0.125
As: 0.625 0.625 0.625
As: 0.625 0.125 0.625
As: 0.125 0.625 0.625
Na: 0.250 0.250 0.250
Na: 0.000 0.000 0.000

Calculated values
The calculation puts the volume at 21.89 Å³ per atom. The energy relative to the lowest polymorph listed for this composition comes out at 0 meV/atom. As for the space-group type: Fd-3m, No. 227.

---

No. 6
First-principles (PBE) data for a geometry-optimized Rb4PmBr7 structure, as listed in Alexandria via LeMat-Bulk.

a = 5.849 Å, b = 9.189 Å, c = 10.729 Å
α = 74.56°, β = 74.18°, γ = 71.44°
Atoms (fractional coordinates):
Br: 0.918 0.887 0.278
Br: 0.172 0.680 0.976
Br: 0.828 0.320 0.024
Br: 0.500 0.000 0.000
Br: 0.361 0.732 0.546
Br: 0.639 0.268 0.454
Br: 0.082 0.113 0.722
Rb: 0.573 0.614 0.240
Rb: 0.427 0.386 0.760
Rb: 0.262 0.119 0.356
Rb: 0.738 0.881 0.644
Pm: 0.000 0.000 0.000

Calculated values
The calculation puts the volume at 42.98 Å³ per atom. The uncorrected formation energy comes out at -1769 meV/atom. As for the space-group type: C2/m, No. 12.

---

No. 7
First-principles (PBE) data for a geometry-optimized Cs2TlCu2F6 structure, as listed in Alexandria via LeMat-Bulk.

a = 6.665 Å, b = 6.665 Å, c = 7.686 Å
α = 64.30°, β = 64.30°, γ = 60.00°
Atoms (fractional coordinates):
F: 0.737 0.243 0.284
F: 0.243 0.737 0.284
F: 0.757 0.263 0.716
F: 0.263 0.263 0.716
F: 0.263 0.757 0.716
F: 0.737 0.737 0.284
Tl: 0.000 0.000 0.000
Cs: 0.214 0.214 0.358
Cs: 0.786 0.786 0.642
Cu: 0.434 0.434 0.698
Cu: 0.566 0.566 0.302

Calculated values
The calculation puts the volume at 23.27 Å³ per atom. The uncorrected formation energy comes out at -1902 meV/atom. As for the space-group type: R-3m, No. 166.

---

No. 8
First-principles (PBE) data for a geometry-optimized LiReSe2 structure, as listed in Alexandria via LeMat-Bulk.

a = 4.431 Å, b = 4.431 Å, c = 4.431 Å
α = 60.00°, β = 60.00°, γ = 60.00°
Atoms (fractional coordinates):
Se: 0.250 0.250 0.250
Se: 0.750 0.750 0.750
Re: 0.500 0.500 0.500
Li: 0.000 0.000 0.000

Calculated values
The calculation puts the volume at 15.38 Å³ per atom. The energy relative to the lowest polymorph listed for this composition comes out at 117 meV/atom. The uncorrected formation energy comes out at -125 meV/atom. As for the space-group type: Fm-3m, No. 225.

---

No. 9
First-principles (PBE) data for a geometry-optimized Cd2AgCl structure, as listed in Alexandria via LeMat-Bulk.

a = 4.987 Å, b = 4.987 Å, c = 7.268 Å
α = 62.20°, β = 62.20°, γ = 42.20°
Atoms (fractional coordinates):
Cd: 0.522 0.522 0.565
Cd: 0.978 0.978 0.935
Ag: 0.750 0.750 0.750
Cl: 0.250 0.250 0.250

Calculated values
The calculation puts the volume at 26.29 Å³ per atom. The energy relative to the lowest polymorph listed for this composition comes out at 73 meV/atom. The uncorrected formation energy comes out at -190 meV/atom. As for the space-group type: C2/m, No. 12.

---

No. 10
First-principles (PBE) data for a geometry-optimized Er2Tm2Ir3 structure, as listed in Alexandria via LeMat-Bulk.

a = 4.753 Å, b = 4.752 Å, c = 8.298 Å
α = 106.73°, β = 89.96°, γ = 120.01°
Atoms (fractional coordinates):
Ir: 0.750 0.499 0.249
Ir: 0.000 0.000 0.000
Ir: 0.250 0.501 0.751
Er: 0.126 0.251 0.376
Er: 0.874 0.749 0.624
Tm: 0.624 0.248 0.872
Tm: 0.376 0.752 0.128

Calculated values
For the total energy, the calculation gives -7.26 eV/atom. The calculation puts the volume at 21.87 Å³ per atom. As for the space-group type: C2/m, No. 12.

---

No. 11
First-principles (PBE) data for a geometry-optimized RbV3Pt structure, as listed in Alexandria via LeMat-Bulk.

a = 5.022 Å, b = 5.022 Å, c = 5.022 Å
α = 90.00°, β = 90.00°, γ = 90.00°
Atoms (fractional coordinates):
V: 0.000 0.500 0.000
V: 0.000 0.000 0.500
V: 0.500 0.000 0.000
Pt: 0.000 0.000 0.000
Rb: 0.500 0.500 0.500

Calculated values
The calculation puts the volume at 25.32 Å³ per atom. The energy relative to the lowest polymorph listed for this composition comes out at 0 meV/atom. As for the space-group type: Pm-3m, No. 221.

---

No. 12
First-principles (PBE) data for a geometry-optimized SiTeIr2 structure, as listed in Alexandria via LeMat-Bulk.

a = 4.529 Å, b = 4.529 Å, c = 4.529 Å
α = 60.00°, β = 60.00°, γ = 60.00°
Atoms (fractional coordinates):
Ir: 0.750 0.750 0.750
Ir: 0.250 0.250 0.250
Te: 0.500 0.500 0.500
Si: 0.000 0.000 0.000

Calculated values
The calculation puts the volume at 16.42 Å³ per atom. The energy relative to the lowest polymorph listed for this composition comes out at 560 meV/atom. The uncorrected formation energy comes out at 357 meV/atom. As for the space-group type: Fm-3m, No. 225.

---

Let's list M_tot in order: 0.00, 0.00, 0.00, 0.00, 0.00, 0.01, 0.09, 0.00, 0.00, 0.00, 1.66, 0.00 μB per atom.